Compound: LiBeOs
Source: Alexandria via LeMat-Bulk
Functional: PBE
Structure: relaxed

Computed properties:
The distance to the lowest polymorph of the same formula is 21.8 meV/atom. Its total energy is -16.30 eV/cell. Its size of the total moment is 0.00 μB/cell. The value obtained for the formation enthalpy at 0 K is 188 meV/atom.

a = 4.0175 Å, b = 4.0175 Å, c = 2.4845 Å
α = 90.00°, β = 90.00°, γ = 120.00°
With the nearest neighbours (Å) after each atom.
Space group P3m1 (No. 156)
Symmetry-distinct sites (fractional):
Li: 0.0000 0.0000 0.0000 (multiplicity 1)  3 Be 2.39, 2 Li 2.48, 3 Os 2.55
Be: 0.6667 0.3333 0.7608 (multiplicity 1)  3 Li 2.39, 3 Os 2.46, 2 Be 2.48
Os: 0.3333 0.6667 0.4284 (multiplicity 1)  3 Be 2.46, 2 Os 2.48, 6 Li 2.55-2.72